Entry 1:
NdTiS3: relaxed, PBE-GGA.

Calculated values
final energy	-6.71	eV/atom
DOS(E_F)	0.39	states/eV per atom
space-group type	Pnma
total moment	0.72	μB/f.u.
volume	394	Å³/cell
density	4.86	g/cm³

Unit cell a=7.936 b=3.741 c=13.260 alpha=90.00 beta=90.00 gamma=90.00
Positions (direct):
Nd 0.081 0.250 0.171
Nd 0.419 0.750 0.671
Nd 0.581 0.250 0.329
Nd 0.919 0.750 0.829
Ti 0.147 0.750 0.451
Ti 0.353 0.250 0.951
Ti 0.647 0.750 0.049
Ti 0.853 0.250 0.549
S 0.025 0.750 0.615
S 0.161 0.750 0.008
S 0.200 0.250 0.789
S 0.300 0.750 0.289
S 0.339 0.250 0.508
S 0.475 0.250 0.115
S 0.525 0.750 0.885
S 0.661 0.750 0.492
S 0.700 0.250 0.711
S 0.800 0.750 0.211
S 0.839 0.250 0.992
S 0.975 0.250 0.385

=====

Entry 2:
Sm2Ho5Ni2: relaxed, PBE-GGA.

Calculated values
final energy	-5.02	eV/atom
DOS(E_F)	1.37	states/eV per atom
space-group type	Cmce
energy of formation from the pure elements	-14.2	kJ per mole of atoms
total moment	0.00	μB/f.u.
volume	486	Å³/cell
density	8.50	g/cm³

Unit cell a=10.624 b=10.624 c=6.946 alpha=90.00 beta=90.00 gamma=38.29
Positions (direct):
Sm 0.231 0.231 0.000
Sm 0.269 0.269 0.500
Sm 0.731 0.731 0.500
Sm 0.769 0.769 0.000
Ho 0.000 0.000 0.000
Ho 0.069 0.716 0.674
Ho 0.216 0.569 0.174
Ho 0.284 0.931 0.674
Ho 0.431 0.784 0.174
Ho 0.500 0.500 0.500
Ho 0.569 0.216 0.826
Ho 0.716 0.069 0.326
Ho 0.784 0.431 0.826
Ho 0.931 0.284 0.326
Ni 0.122 0.878 0.379
Ni 0.378 0.622 0.879
Ni 0.622 0.378 0.121
Ni 0.878 0.122 0.621

=====

Entry 3:
In2HgGe: relaxed, PBE-GGA.

Calculated values
final energy	-2.49	eV/atom
DOS(E_F)	0.43	states/eV per atom
space-group type	P4/mmm
energy of formation from the pure elements	10.9	kJ per mole of atoms
total moment	0.00	μB/f.u.
volume	99	Å³/cell
density	8.47	g/cm³
offset from the most stable computed form	22	meV/atom

Unit cell a=5.423 b=5.423 c=3.350 alpha=90.00 beta=90.00 gamma=90.00
Positions (direct):
In 0.000 0.500 0.000
In 0.500 0.000 0.000
Hg 0.000 0.000 0.500
Ge 0.500 0.500 0.500

=====

Entry 4:
Re2HgBiF: relaxed, PBE-GGA.

Calculated values
final energy	-4.06	eV/atom
DOS(E_F)	0.99	states/eV per atom
space-group type	P4/mmm
total moment	8.06	μB/f.u.
volume	174	Å³/cell
density	7.64	g/cm³

Unit cell a=5.397 b=5.397 c=5.972 alpha=90.00 beta=90.00 gamma=90.00
Positions (direct):
Re 0.000 0.500 0.000
Re 0.500 0.000 0.000
Hg 0.000 0.000 0.500
Bi 0.000 0.000 0.000
F 0.500 0.500 0.500

=====

Entry 5:
SiSb: relaxed, PBE-GGA.

Calculated values
final energy	-4.20	eV/atom
DOS(E_F)	0.37	states/eV per atom
space-group type	I4_1/amd
total moment	0.00	μB/f.u.
volume	89	Å³/cell
density	5.59	g/cm³

Unit cell a=6.212 b=6.212 c=6.212 alpha=142.29 beta=142.29 gamma=54.39
Positions (direct):
Si 0.375 0.625 0.750
Si 0.625 0.375 0.250
Sb 0.125 0.875 0.250
Sb 0.875 0.125 0.750

=====

Entry 6:
FeAgRh: relaxed, PBE-GGA.

Calculated values
final energy	-5.73	eV/atom
DOS(E_F)	0.41	states/eV per atom
space-group type	F-43m
energy of formation from the pure elements	47.5	kJ per mole of atoms
total moment	3.99	μB/f.u.
volume	51	Å³/cell
density	8.68	g/cm³
offset from the most stable computed form	322	meV/atom

Unit cell a=4.162 b=4.162 c=4.162 alpha=60.00 beta=60.00 gamma=60.00
Positions (direct):
Fe 0.000 0.000 0.000
Ag 0.750 0.750 0.750
Rh 0.250 0.250 0.250

=====

Entry 7:
Ga2AgPb: relaxed, PBE-GGA.

Calculated values
final energy	-3.06	eV/atom
DOS(E_F)	0.30	states/eV per atom
space-group type	R-3m
energy of formation from the pure elements	8.5	kJ per mole of atoms
total moment	0.00	μB/f.u.
volume	92	Å³/cell
density	8.17	g/cm³

Unit cell a=6.126 b=6.126 c=6.126 alpha=41.80 beta=41.80 gamma=41.80
Positions (direct):
Ga 0.219 0.219 0.219
Ga 0.781 0.781 0.781
Ag 0.500 0.500 0.500
Pb 0.000 0.000 0.000

=====

Entry 8:
BeAgHg3: relaxed, PBE-GGA.

Calculated values
final energy	-0.74	eV/atom
DOS(E_F)	0.36	states/eV per atom
space-group type	Pm-3m
energy of formation from the pure elements	72.5	kJ per mole of atoms
total moment	0.00	μB/f.u.
volume	167	Å³/cell
density	7.14	g/cm³
offset from the most stable computed form	428	meV/atom

Unit cell a=5.508 b=5.508 c=5.508 alpha=90.00 beta=90.00 gamma=90.00
Positions (direct):
Be 0.000 0.000 0.000
Ag 0.500 0.500 0.500
Hg 0.000 0.500 0.500
Hg 0.500 0.000 0.500
Hg 0.500 0.500 0.000

=====

- What is the DOS(E_F) in the fifth record?
  0.37 states/eV per atom